1.
PmCu4Pt8: relaxed, PBE.

It has space group I4/mmm (No. 139), with a = 8.966 Å, b = 8.966 Å, c = 5.077 Å, α = 90.00°, β = 90.00° and γ = 90.00°. The inequivalent atoms are Pm at (0.000, 0.000, 0.000), Cu at (0.250, 0.250, 0.250), Pt at (0.000, 0.221, 0.500) and Pt at (0.000, 0.347, 0.000).

Its density of states at the Fermi level is 1.143 states/eV/atom. The value obtained for the energy of formation is -4.48 eV/f.u.

***

2.
PmCu10Pt2: relaxed, PBE.

It has space group Fmmm (No. 69), with a = 5.252 Å, b = 11.786 Å, c = 12.186 Å, α = 90.00°, β = 90.00° and γ = 90.00°. The inequivalent atoms are Pm at (0.000, 0.000, 0.000), Cu at (0.000, 0.108, 0.383), Cu at (0.000, 0.175, 0.178), Cu at (0.250, 0.000, 0.250) and Pt at (0.250, 0.250, 0.000).

Its density of states at the Fermi level is 0.427 states/eV/atom. The value obtained for the energy of formation is -2.07 eV/f.u.

***

3.
Pm8Cu2Pt: relaxed, PBE.

It has space group C2/m (No. 12), with a = 17.880 Å, b = 5.156 Å, c = 6.850 Å, α = 90.00°, β = 102.12° and γ = 90.00°. The inequivalent atoms are Pm at (0.033, 0.000, 0.281), Pm at (0.089, 0.500, 0.945), Pm at (0.166, 0.500, 0.474), Pm at (0.201, 0.000, 0.841), Cu at (0.191, 0.000, 0.245) and Pt at (0.000, 0.500, 0.500).

Its density of states at the Fermi level is 0.905 states/eV/atom. The value obtained for the energy of formation is -2.77 eV/f.u.

***

4.
Pm4Cu2Pt: relaxed, PBE.

It has space group R-3m (No. 166, hexagonal axes), with a = 5.0099 Å, b = 5.0099 Å, c = 24.7682 Å, α = 90.00°, β = 90.00° and γ = 120.00°. The inequivalent atoms are Pm at (0.0000, 0.0000, 0.1250), Pm at (0.0000, 0.0000, 0.3754), Cu at (0.0000, 0.0000, 0.2551) and Pt at (0.0000, 0.0000, 0.5000).

Its density of states at the Fermi level is 1.096 states/eV/atom. The value obtained for the energy of formation is -2.36 eV/f.u.

***

5.
Pm5Cu2Pt2: relaxed, PBE.

It has space group Cmce (No. 64), with a = 16.442 Å, b = 7.431 Å, c = 7.409 Å, α = 90.00°, β = 90.00° and γ = 90.00°. The inequivalent atoms are Pm at (0.000, 0.000, 0.000), Pm at (0.144, 0.178, 0.325), Cu at (0.000, 0.117, 0.615) and Pt at (0.210, 0.000, 0.000).

Its density of states at the Fermi level is 0.709 states/eV/atom. The value obtained for the energy of formation is -5.18 eV/f.u.

***

6.
Pm2Cu9Pt: relaxed, PBE.

It has space group R-3m (No. 166, hexagonal axes), with a = 5.1463 Å, b = 5.1463 Å, c = 24.2559 Å, α = 90.00°, β = 90.00° and γ = 120.00°. The inequivalent atoms are Pm at (0.0000, 0.0000, 0.1296), Cu at (0.0000, 0.0000, 0.3333), Cu at (0.0000, 0.0000, 0.5000), Cu at (0.0027, 0.5013, 0.9205) and Pt at (0.0000, 0.0000, 0.0000).

Its density of states at the Fermi level is 0.414 states/eV/atom. The value obtained for the energy of formation is -0.86 eV/f.u.

***

- What is the energy of formation in the sixth record?
  -0.86 eV/f.u.